# Nd2DyHo5 PBE relaxed
# **M_tot**: 0.0 Bohr magnetons per cell
# **Formation energy**: 15.9 kJ per mole of atoms
data_Nd2DyHo5
_chemical_formula_sum 'Nd8 Dy4 Ho20'
_cell_length_a 16.227
_cell_length_b 9.866
_cell_length_c 6.547
_cell_angle_alpha 90.00
_cell_angle_beta 99.30
_cell_angle_gamma 90.00
_space_group_name_H-M_alt 'C 1 2/c 1'
_space_group_IT_number 15
loop_
_space_group_symop_operation_xyz
'x,y,z'
'-x,-y,-z'
'-x,y,-z+1/2'
'x,-y,z+1/2'
'x+1/2,y+1/2,z'
'-x+1/2,-y+1/2,-z'
'-x+1/2,y+1/2,-z+1/2'
'x+1/2,-y+1/2,z+1/2'
loop_
_atom_site_label
_atom_site_type_symbol
_atom_site_fract_x
_atom_site_fract_y
_atom_site_fract_z
Nd1 Nd 0.080 0.245 0.120
Dy1 Dy 0.250 0.250 0.000
Ho1 Ho 0.000 0.441 0.750
Ho2 Ho 0.100 0.090 0.648
Ho3 Ho 0.199 0.413 0.527